(1)
An optimized crystal structure of Tl3Cl7F, computed with PBE.

Unit cell a=7.599 b=7.599 c=9.437 alpha=125.13 beta=125.13 gamma=61.29
Sites, in units of the cell vectors:
Tl 0.000 0.000 0.000
Tl 0.494 0.986 0.509
Tl 0.986 0.494 0.509
Cl 0.043 0.043 0.352
Cl 0.046 0.537 0.822
Cl 0.422 0.422 0.643
Cl 0.471 0.943 0.212
Cl 0.537 0.046 0.822
Cl 0.554 0.554 0.370
Cl 0.943 0.471 0.212
F 0.886 0.886 0.646

Values from the calculation:
- density (g/cm³) = 4.11
- space-group type = Cm (8)
- calculated total energy (eV/atom) = -2.77
- DOS at the Fermi energy (states/eV/cell) = 4.903

***

(2)
An optimized crystal structure of Tl3ClF5, computed with PBE.

Unit cell a=14.244 b=14.244 c=3.768 alpha=90.00 beta=90.00 gamma=147.37
Sites, in units of the cell vectors:
Tl 0.000 0.000 0.000
Tl 0.164 0.836 0.500
Tl 0.312 0.688 0.000
Tl 0.500 0.500 0.500
Tl 0.688 0.312 0.000
Tl 0.836 0.164 0.500
Cl 0.382 0.618 0.500
Cl 0.618 0.382 0.500
F 0.045 0.422 0.000
F 0.050 0.950 0.500
F 0.264 0.264 0.000
F 0.265 0.735 0.500
F 0.422 0.045 0.000
F 0.578 0.955 0.000
F 0.735 0.265 0.500
F 0.736 0.736 0.000
F 0.950 0.050 0.500
F 0.955 0.578 0.000

Values from the calculation:
- density (g/cm³) = 5.99
- space-group type = Cmmm (65)
- calculated total energy (eV/atom) = -3.69

***

(3)
An optimized crystal structure of Tl5Cl4F, computed with PBE.

Unit cell a=7.788 b=7.788 c=7.788 alpha=99.94 beta=99.94 gamma=130.91
Sites, in units of the cell vectors:
Tl 0.000 0.000 0.000
Tl 0.194 0.382 0.634
Tl 0.382 0.748 0.188
Tl 0.560 0.194 0.812
Tl 0.748 0.560 0.366
Cl 0.064 0.669 0.778
Cl 0.286 0.064 0.395
Cl 0.669 0.891 0.605
Cl 0.891 0.286 0.222
F 0.387 0.387 0.000

Values from the calculation:
- density (g/cm³) = 6.05
- space-group type = I4 (79)
- calculated total energy (eV/atom) = -3.25
- DOS at the Fermi energy (states/eV/cell) = 0.000

***

(4)
An optimized crystal structure of Tl3Cl2F2, computed with PBE.

Unit cell a=7.335 b=7.335 c=7.784 alpha=120.97 beta=120.97 gamma=33.39
Sites, in units of the cell vectors:
Tl 0.000 0.000 0.000
Tl 0.182 0.182 0.726
Tl 0.818 0.818 0.274
Cl 0.440 0.440 0.706
Cl 0.560 0.560 0.294
F 0.194 0.194 0.077
F 0.806 0.806 0.923

Values from the calculation:
- density (g/cm³) = 6.17
- space-group type = C2/m (12)
- calculated total energy (eV/atom) = -3.39
- DOS at the Fermi energy (states/eV/cell) = 5.378

***

(5)
An optimized crystal structure of Tl3Cl2F, computed with PBE.

Unit cell a=7.645 b=7.645 c=8.732 alpha=106.32 beta=106.32 gamma=49.87
Sites, in units of the cell vectors:
Tl 0.022 0.978 0.750
Tl 0.354 0.359 0.424
Tl 0.359 0.354 0.924
Tl 0.641 0.646 0.076
Tl 0.646 0.641 0.576
Tl 0.978 0.022 0.250
Cl 0.174 0.188 0.090
Cl 0.188 0.174 0.590
Cl 0.812 0.826 0.410
Cl 0.826 0.812 0.910
F 0.405 0.595 0.750
F 0.595 0.405 0.250

Values from the calculation:
- density (g/cm³) = 6.29
- space-group type = C2/c (15)
- calculated total energy (eV/atom) = -3.35
- DOS at the Fermi energy (states/eV/cell) = 0.000
- polymorph energy (0 for the lowest one) (meV/atom) = 21

***

(6)
An optimized crystal structure of Tl2Cl3F, computed with PBE.

Unit cell a=6.803 b=6.803 c=8.180 alpha=90.00 beta=90.00 gamma=82.82
Sites, in units of the cell vectors:
Tl 0.000 0.000 0.000
Tl 0.000 0.000 0.500
Tl 0.476 0.524 0.750
Tl 0.524 0.476 0.250
Cl 0.243 0.757 0.250
Cl 0.324 0.324 0.000
Cl 0.324 0.324 0.500
Cl 0.676 0.676 0.000
Cl 0.676 0.676 0.500
Cl 0.757 0.243 0.750
F 0.238 0.762 0.750
F 0.762 0.238 0.250

Values from the calculation:
- density (g/cm³) = 4.72
- space-group type = Cmcm (63)
- calculated total energy (eV/atom) = -3.04

***

(7)
An optimized crystal structure of TlCl3F, computed with PBE.

Unit cell a=5.244 b=5.244 c=5.244 alpha=90.00 beta=90.00 gamma=90.00
Sites, in units of the cell vectors:
Tl 0.000 0.000 0.000
Cl 0.000 0.000 0.500
Cl 0.000 0.500 0.000
Cl 0.500 0.000 0.000
F 0.500 0.500 0.500

Values from the calculation:
- density (g/cm³) = 3.80
- space-group type = Pm-3m (221)
- calculated total energy (eV/atom) = -2.15
- DOS at the Fermi energy (states/eV/cell) = 21.201
- polymorph energy (0 for the lowest one) (meV/atom) = 623

***

(8)
An optimized crystal structure of TlClF3, computed with PBE.

Unit cell a=4.698 b=6.917 c=5.291 alpha=90.00 beta=106.10 gamma=90.00
Sites, in units of the cell vectors:
Tl 0.129 0.250 0.012
Tl 0.871 0.750 0.988
Cl 0.415 0.250 0.506
Cl 0.585 0.750 0.494
F 0.070 0.750 0.433
F 0.235 0.552 0.936
F 0.235 0.948 0.936
F 0.765 0.052 0.064
F 0.765 0.448 0.064
F 0.930 0.250 0.567

Values from the calculation:
- density (g/cm³) = 5.97
- space-group type = P2_1/m (11)
- calculated total energy (eV/atom) = -3.12
- DOS at the Fermi energy (states/eV/cell) = 3.210
- polymorph energy (0 for the lowest one) (meV/atom) = 231